A plane-wave DFT calculation with PBE was carried out for a relaxed Mg2ZnBi crystal.

abc: 5.1234 5.1234 5.1234
angles: 60.00 60.00 60.00
Fractional positions:
Bi 0.5000 0.5000 0.5000
Zn 0.0000 0.0000 0.0000
Mg 0.7500 0.7500 0.7500
Mg 0.2500 0.2500 0.2500

The final energy is -8.504 eV for the cell shown. For the relative energy among the computed polymorphs, the calculation gives 0.0167 eV per atom. The space group is No. 225. Its total moment is 0.000 μB/atom. Its crystal system is cubic.

A plane-wave DFT calculation with PBE was carried out for a relaxed MgZnBi2 crystal.

abc: 3.4318 3.4318 11.2302
angles: 81.21 81.21 60.00
Fractional positions:
Mg 0.0000 0.0000 0.0000
Bi 0.0971 0.0971 0.7087
Bi 0.9029 0.9029 0.2913
Zn 0.5000 0.5000 0.5000

The final energy is -9.963 eV for the cell shown. For the relative energy among the computed polymorphs, the calculation gives 0.1487 eV per atom. The space group is No. 166. Its total moment is 0.000 μB/atom. Its crystal system is trigonal.

A plane-wave DFT calculation with PBE was carried out for a relaxed Mg2ZnBi crystal.

abc: 4.1770 4.6860 4.6860
angles: 90.00 90.00 90.00
Fractional positions:
Bi 0.5000 0.5000 0.5000
Mg 0.0000 0.5000 0.0000
Mg 0.0000 0.0000 0.5000
Zn 0.5000 0.0000 0.0000

The final energy is -8.571 eV for the cell shown. For the relative energy among the computed polymorphs, the calculation gives 0.0000 eV per atom. The space group is No. 123. Its total moment is 0.000 μB/atom. Its crystal system is tetragonal.

A plane-wave DFT calculation with PBE was carried out for a relaxed Mg2ZnBi crystal.

abc: 4.6391 4.6391 5.9389
angles: 67.01 67.01 60.00
Fractional positions:
Bi 0.4911 0.4911 0.5267
Mg 0.2716 0.2716 0.1852
Mg 0.0620 0.0620 0.8141
Zn 0.6753 0.6753 0.9740

The final energy is -8.415 eV for the cell shown. For the relative energy among the computed polymorphs, the calculation gives 0.0389 eV per atom. The space group is No. 160. Its total moment is 0.000 μB/atom. Its crystal system is trigonal.

A plane-wave DFT calculation with PBE was carried out for a relaxed MgZnBi3 crystal.

abc: 5.5402 5.5402 5.5402
angles: 90.00 90.00 90.00
Fractional positions:
Bi 0.0000 0.0000 0.5000
Bi 0.5000 0.0000 0.0000
Bi 0.0000 0.5000 0.0000
Mg 0.0000 0.0000 0.0000
Zn 0.5000 0.5000 0.5000

The final energy is -11.489 eV for the cell shown. The space group is No. 221. Its total moment is 0.000 μB/atom. Its crystal system is cubic.

A plane-wave DFT calculation with PBE was carried out for a relaxed Mg6ZnBi crystal.

abc: 6.4473 6.4473 4.9477
angles: 90.00 90.00 116.84
Fractional positions:
Mg 0.8400 0.1600 0.0000
Mg 0.8606 0.6900 0.0000
Mg 0.3100 0.1394 0.0000
Zn 0.1734 0.8266 0.5000
Bi 0.6591 0.3409 0.5000
Mg 0.1608 0.3390 0.5000
Mg 0.6610 0.8392 0.5000
Mg 0.3352 0.6648 0.0000

The final energy is -14.890 eV for the cell shown. For the relative energy among the computed polymorphs, the calculation gives 0.0038 eV per atom. The space group is No. 38. Its total moment is 0.000 μB/atom. Its crystal system is orthorhombic.

Energy relative to the elements for the records above, in order: -0.0399; 0.1668; -0.0566; -0.0177; 0.6044; -0.0210 eV/atom